# 1
The following is a GGA-PBEsol calculation of an optimized crystal structure of H8PtN2Cl6, from Alexandria.

Lattice parameters (Å, degrees): 6.861 6.861 6.861 60.00 60.00 60.00
Fractional coordinates of all 17 atoms:
1 H 0.188 0.188 0.188
2 H 0.188 0.188 0.435
3 H 0.188 0.435 0.188
4 H 0.435 0.188 0.188
5 H 0.565 0.812 0.812
6 H 0.812 0.565 0.812
7 H 0.812 0.812 0.565
8 H 0.812 0.812 0.812
9 Pt 0.500 0.500 0.500
10 N 0.250 0.250 0.250
11 N 0.750 0.750 0.750
12 Cl 0.261 0.261 0.739
13 Cl 0.261 0.739 0.261
14 Cl 0.261 0.739 0.739
15 Cl 0.739 0.261 0.261
16 Cl 0.739 0.261 0.739
17 Cl 0.739 0.739 0.261

**Energy**: -4.31 eV/atom
**Crystal system**: cubic
**Spin magnetization**: 0.0 μB/f.u.
**Space-group type**: No. 225

---

# 2
The following is a GGA-PBEsol calculation of an optimized crystal structure of SnH12PtN4Cl6, from Alexandria.

Lattice parameters (Å, degrees): 7.990 7.990 10.486 90.00 90.00 85.38
Fractional coordinates of all 48 atoms:
1 Sn 0.000 0.000 0.000
2 Sn 0.500 0.500 0.500
3 H 0.073 0.199 0.319
4 H 0.086 0.703 0.600
5 H 0.107 0.294 0.457
6 H 0.199 0.073 0.681
7 H 0.203 0.586 0.100
8 H 0.206 0.393 0.043
9 H 0.294 0.107 0.543
10 H 0.297 0.914 0.600
11 H 0.301 0.427 0.181
12 H 0.393 0.206 0.957
13 H 0.414 0.797 0.100
14 H 0.427 0.301 0.819
15 H 0.573 0.699 0.181
16 H 0.586 0.203 0.900
17 H 0.607 0.794 0.043
18 H 0.699 0.573 0.819
19 H 0.703 0.086 0.400
20 H 0.706 0.893 0.457
21 H 0.794 0.607 0.957
22 H 0.797 0.414 0.900
23 H 0.801 0.927 0.319
24 H 0.893 0.706 0.543
25 H 0.914 0.297 0.400
26 H 0.927 0.801 0.681
27 Pt 0.000 0.000 0.500
28 Pt 0.500 0.500 0.000
29 N 0.025 0.222 0.409
30 N 0.222 0.025 0.591
31 N 0.278 0.475 0.091
32 N 0.475 0.278 0.909
33 N 0.525 0.722 0.091
34 N 0.722 0.525 0.909
35 N 0.778 0.975 0.409
36 N 0.975 0.778 0.591
37 Cl 0.058 0.240 0.865
38 Cl 0.185 0.815 0.871
39 Cl 0.240 0.058 0.135
40 Cl 0.260 0.442 0.635
41 Cl 0.315 0.685 0.371
42 Cl 0.442 0.260 0.365
43 Cl 0.558 0.740 0.635
44 Cl 0.685 0.315 0.629
45 Cl 0.740 0.558 0.365
46 Cl 0.760 0.942 0.865
47 Cl 0.815 0.185 0.129
48 Cl 0.942 0.760 0.135

**Energy**: -4.69 eV/atom
**Crystal system**: orthorhombic
**Spin magnetization**: 0.1 μB/f.u.
**Space-group type**: No. 64

---

# 3
The following is a GGA-PBEsol calculation of an optimized crystal structure of Rb5Te3H4NCl18, from Alexandria.

Lattice parameters (Å, degrees): 7.197 7.197 17.635 90.00 90.00 120.00
Fractional coordinates of all 31 atoms:
1 Rb 0.000 0.000 0.000
2 Rb 0.000 0.000 0.498
3 Rb 0.333 0.667 0.834
4 Rb 0.667 0.333 0.167
5 Rb 0.667 0.333 0.666
6 Te 0.000 0.000 0.750
7 Te 0.333 0.667 0.085
8 Te 0.667 0.333 0.415
9 H 0.255 0.510 0.313
10 H 0.255 0.745 0.313
11 H 0.333 0.667 0.392
12 H 0.490 0.745 0.313
13 N 0.333 0.667 0.333
14 Cl 0.001 0.501 0.001
15 Cl 0.166 0.332 0.667
16 Cl 0.166 0.834 0.667
17 Cl 0.167 0.334 0.167
18 Cl 0.167 0.833 0.167
19 Cl 0.332 0.166 0.833
20 Cl 0.333 0.167 0.332
21 Cl 0.499 0.501 0.001
22 Cl 0.499 0.999 0.001
23 Cl 0.501 0.001 0.498
24 Cl 0.501 0.499 0.498
25 Cl 0.666 0.833 0.167
26 Cl 0.668 0.834 0.667
27 Cl 0.833 0.167 0.332
28 Cl 0.833 0.667 0.332
29 Cl 0.834 0.166 0.833
30 Cl 0.834 0.668 0.833
31 Cl 0.999 0.499 0.498

**Energy**: -3.48 eV/atom
**Crystal system**: trigonal
**Spin magnetization**: 0.0 μB/f.u.
**Space-group type**: No. 156

---

# 4
The following is a GGA-PBEsol calculation of an optimized crystal structure of ReH8N2Cl6, from Alexandria.

Lattice parameters (Å, degrees): 6.908 6.908 6.908 60.00 60.00 60.00
Fractional coordinates of all 17 atoms:
1 Re 0.000 0.000 0.000
2 H 0.066 0.311 0.311
3 H 0.311 0.066 0.311
4 H 0.311 0.311 0.066
5 H 0.311 0.311 0.311
6 H 0.689 0.689 0.689
7 H 0.689 0.689 0.934
8 H 0.689 0.934 0.689
9 H 0.934 0.689 0.689
10 N 0.250 0.250 0.250
11 N 0.750 0.750 0.750
12 Cl 0.241 0.241 0.759
13 Cl 0.241 0.759 0.241
14 Cl 0.241 0.759 0.759
15 Cl 0.759 0.241 0.241
16 Cl 0.759 0.241 0.759
17 Cl 0.759 0.759 0.241

**Energy**: -4.71 eV/atom
**Crystal system**: cubic
**Spin magnetization**: 3.0 μB/f.u.
**Space-group type**: No. 225

---

Q: Which of these has the highest spin magnetization?
A: ReH8N2Cl6